[1]
{
  "formula": "Dy3Ga9Pd2",
  "functional": "PBE",
  "state": "relaxed",
  "lattice_angstrom": [[-2.147, 4.727, 6.277], [2.147, -4.727, 6.277], [2.147, 4.727, -6.277]],
  "species": ["Dy", "Dy", "Dy", "Ga", "Ga", "Ga", "Ga", "Ga", "Ga", "Ga", "Ga", "Ga", "Pd", "Pd"],
  "frac_coords": [[0.000, 0.000, 0.000], [0.300, 0.300, 0.000], [0.700, 0.700, 0.000], [0.022, 0.655, 0.366], [0.143, 0.862, 0.282], [0.289, 0.655, 0.634], [0.420, 0.138, 0.282], [0.500, 0.000, 0.500], [0.580, 0.862, 0.718], [0.711, 0.345, 0.366], [0.857, 0.138, 0.718], [0.978, 0.345, 0.634], [0.316, 0.500, 0.816], [0.684, 0.500, 0.184]],
  "e_tot_ev_per_atom": -4.324,
  "sg": "Immm, No. 71"
}

[2]
{
  "formula": "DyGaPd2",
  "functional": "PBE",
  "state": "relaxed",
  "lattice_angstrom": [[7.360, 0.000, 0.000], [0.000, 7.170, 0.000], [0.000, 0.000, 5.626]],
  "species": ["Dy", "Dy", "Dy", "Dy", "Ga", "Ga", "Ga", "Ga", "Pd", "Pd", "Pd", "Pd", "Pd", "Pd", "Pd", "Pd"],
  "frac_coords": [[0.030, 0.250, 0.145], [0.470, 0.750, 0.645], [0.530, 0.250, 0.355], [0.970, 0.750, 0.855], [0.115, 0.750, 0.356], [0.385, 0.250, 0.856], [0.615, 0.750, 0.144], [0.885, 0.250, 0.644], [0.184, 0.051, 0.589], [0.184, 0.449, 0.589], [0.316, 0.551, 0.089], [0.316, 0.949, 0.089], [0.684, 0.051, 0.911], [0.684, 0.449, 0.911], [0.816, 0.551, 0.411], [0.816, 0.949, 0.411]],
  "e_tot_ev_per_atom": -5.395,
  "sg": "Pnma, No. 62"
}

[3]
{
  "formula": "DyGa2Pd3",
  "functional": "PBE",
  "state": "relaxed",
  "lattice_angstrom": [[4.418, 0.000, 0.000], [-2.209, 3.826, 0.000], [0.000, 0.000, 12.415]],
  "species": ["Dy", "Dy", "Ga", "Ga", "Ga", "Ga", "Pd", "Pd", "Pd", "Pd", "Pd", "Pd"],
  "frac_coords": [[0.000, 0.000, 0.250], [0.000, 0.000, 0.750], [0.333, 0.667, 0.086], [0.333, 0.667, 0.414], [0.667, 0.333, 0.586], [0.667, 0.333, 0.914], [0.000, 0.000, 0.000], [0.000, 0.000, 0.500], [0.333, 0.667, 0.626], [0.333, 0.667, 0.874], [0.667, 0.333, 0.126], [0.667, 0.333, 0.374]],
  "e_tot_ev_per_atom": -5.196,
  "sg": "P6_3/mmc, No. 194"
}

[4]
{
  "formula": "Dy2Ga8Pd",
  "functional": "PBE",
  "state": "relaxed",
  "lattice_angstrom": [[4.339, 0.000, 0.000], [0.000, 4.339, 0.000], [0.000, 0.000, 11.105]],
  "species": ["Dy", "Dy", "Ga", "Ga", "Ga", "Ga", "Ga", "Ga", "Ga", "Ga", "Pd"],
  "frac_coords": [[0.000, 0.000, 0.189], [0.000, 0.000, 0.811], [0.000, 0.500, 0.000], [0.000, 0.500, 0.373], [0.000, 0.500, 0.627], [0.500, 0.000, 0.000], [0.500, 0.000, 0.373], [0.500, 0.000, 0.627], [0.500, 0.500, 0.191], [0.500, 0.500, 0.809], [0.000, 0.000, 0.500]],
  "e_tot_ev_per_atom": -4.033,
  "sg": "P4/mmm, No. 123"
}

[5]
{
  "formula": "DyGaPdPt",
  "functional": "PBE",
  "state": "relaxed",
  "lattice_angstrom": [[4.390, 0.000, 0.000], [-2.195, 3.802, 0.000], [0.000, 0.000, 9.084]],
  "species": ["Dy", "Dy", "Ga", "Ga", "Pd", "Pd", "Pt", "Pt"],
  "frac_coords": [[0.000, 0.000, 0.000], [0.333, 0.667, 0.500], [0.667, 0.333, 0.253], [0.667, 0.333, 0.747], [0.333, 0.667, 0.165], [0.333, 0.667, 0.835], [0.000, 0.000, 0.328], [0.000, 0.000, 0.672]],
  "e_tot_ev_per_atom": -5.709,
  "sg": "P-6m2, No. 187",
  "de_polymorph_ev_per_atom": 0.007
}

[6]
{
  "formula": "Dy2Ga4PdPt",
  "functional": "PBE",
  "state": "relaxed",
  "lattice_angstrom": [[6.457, 0.000, 0.000], [0.000, 1.727, 6.864], [0.000, -1.727, 6.864]],
  "species": ["Dy", "Dy", "Ga", "Ga", "Ga", "Ga", "Pd", "Pt"],
  "frac_coords": [[0.000, 0.000, 0.000], [0.500, 0.476, 0.476], [0.214, 0.644, 0.644], [0.289, 0.831, 0.831], [0.711, 0.831, 0.831], [0.786, 0.644, 0.644], [0.000, 0.275, 0.275], [0.500, 0.200, 0.200]],
  "e_tot_ev_per_atom": -4.678,
  "sg": "Amm2, No. 38"
}

[7]
{
  "formula": "DyGaPdPt",
  "functional": "PBE",
  "state": "relaxed",
  "lattice_angstrom": [[4.391, 0.000, 0.000], [-2.196, 3.803, 0.000], [0.000, 0.000, 9.106]],
  "species": ["Dy", "Dy", "Ga", "Ga", "Pd", "Pd", "Pt", "Pt"],
  "frac_coords": [[0.333, 0.667, 0.254], [0.667, 0.333, 0.746], [0.000, 0.000, 0.000], [0.000, 0.000, 0.500], [0.333, 0.667, 0.920], [0.667, 0.333, 0.080], [0.333, 0.667, 0.587], [0.667, 0.333, 0.413]],
  "e_tot_ev_per_atom": -5.706,
  "sg": "P-3m1, No. 164",
  "de_polymorph_ev_per_atom": 0.010
}

[8]
{
  "formula": "Dy2Ga2PdPt3",
  "functional": "PBE",
  "state": "relaxed",
  "lattice_angstrom": [[4.386, 0.000, 0.000], [-2.193, 3.799, 0.000], [0.000, 0.000, 9.108]],
  "species": ["Dy", "Dy", "Ga", "Ga", "Pd", "Pt", "Pt", "Pt"],
  "frac_coords": [[0.000, 0.000, 0.000], [0.333, 0.667, 0.504], [0.667, 0.333, 0.258], [0.667, 0.333, 0.754], [0.333, 0.667, 0.169], [0.000, 0.000, 0.333], [0.000, 0.000, 0.668], [0.333, 0.667, 0.841]],
  "e_tot_ev_per_atom": -5.860,
  "sg": "P3m1, No. 156"
}

[9]
{
  "formula": "DyGaPdPt",
  "functional": "PBE",
  "state": "relaxed",
  "lattice_angstrom": [[4.388, 0.000, 0.000], [-2.194, 3.800, 0.000], [0.000, 0.000, 9.093]],
  "species": ["Dy", "Dy", "Ga", "Ga", "Pd", "Pd", "Pt", "Pt"],
  "frac_coords": [[0.333, 0.667, 0.000], [0.667, 0.333, 0.500], [0.000, 0.000, 0.256], [0.000, 0.000, 0.756], [0.333, 0.667, 0.668], [0.667, 0.333, 0.168], [0.333, 0.667, 0.335], [0.667, 0.333, 0.835]],
  "e_tot_ev_per_atom": -5.716,
  "sg": "P6_3mc, No. 186",
  "de_polymorph_ev_per_atom": 0.000
}

[10]
{
  "formula": "Dy3Ga2SnPdPt2",
  "functional": "PBE",
  "state": "relaxed",
  "lattice_angstrom": [[3.816, 0.000, 0.000], [0.000, 6.436, 3.751], [0.000, -6.436, 3.751]],
  "species": ["Dy", "Dy", "Dy", "Ga", "Ga", "Sn", "Pd", "Pt", "Pt"],
  "frac_coords": [[0.000, 0.000, 0.000], [0.000, 0.189, 0.606], [0.000, 0.606, 0.189], [0.500, 0.602, 0.861], [0.500, 0.861, 0.602], [0.500, 0.346, 0.346], [0.000, 0.612, 0.612], [0.500, 0.266, 0.929], [0.500, 0.929, 0.266]],
  "e_tot_ev_per_atom": -5.615,
  "sg": "Amm2, No. 38"
}

[11]
{
  "formula": "DyGaSiPd2",
  "functional": "PBE",
  "state": "relaxed",
  "lattice_angstrom": [[4.160, 0.000, 0.000], [0.000, 4.160, 0.000], [0.000, 0.000, 10.392]],
  "species": ["Dy", "Dy", "Ga", "Ga", "Si", "Si", "Pd", "Pd", "Pd", "Pd"],
  "frac_coords": [[0.250, 0.250, 0.246], [0.750, 0.750, 0.754], [0.250, 0.750, 0.500], [0.750, 0.250, 0.500], [0.250, 0.250, 0.871], [0.750, 0.750, 0.129], [0.250, 0.250, 0.645], [0.250, 0.750, 0.000], [0.750, 0.250, 0.000], [0.750, 0.750, 0.355]],
  "e_tot_ev_per_atom": -5.560,
  "sg": "P4/nmm, No. 129"
}

[12]
{
  "formula": "SmDyGa2Pd4",
  "functional": "PBE",
  "state": "relaxed",
  "lattice_angstrom": [[4.416, 0.000, 0.000], [-2.208, 3.824, 0.000], [0.000, 0.000, 9.165]],
  "species": ["Sm", "Dy", "Ga", "Ga", "Pd", "Pd", "Pd", "Pd"],
  "frac_coords": [[0.000, 0.000, 0.000], [0.667, 0.333, 0.500], [0.333, 0.667, 0.254], [0.333, 0.667, 0.746], [0.000, 0.000, 0.335], [0.000, 0.000, 0.665], [0.667, 0.333, 0.178], [0.667, 0.333, 0.822]],
  "e_tot_ev_per_atom": -5.388,
  "sg": "P-6m2, No. 187"
}

[13]
{
  "formula": "Dy2GaSnPd4",
  "functional": "PBE",
  "state": "relaxed",
  "lattice_angstrom": [[4.504, 0.000, 0.000], [-2.252, 3.900, 0.000], [0.000, 0.000, 9.018]],
  "species": ["Dy", "Dy", "Ga", "Sn", "Pd", "Pd", "Pd", "Pd"],
  "frac_coords": [[0.333, 0.667, 0.255], [0.667, 0.333, 0.745], [0.000, 0.000, 0.500], [0.000, 0.000, 0.000], [0.333, 0.667, 0.579], [0.333, 0.667, 0.910], [0.667, 0.333, 0.090], [0.667, 0.333, 0.421]],
  "e_tot_ev_per_atom": -5.499,
  "sg": "P-3m1, No. 164"
}

[14]
{
  "formula": "DyTmGa2Pd4",
  "functional": "PBE",
  "state": "relaxed",
  "lattice_angstrom": [[4.392, 0.000, 0.000], [-2.196, 3.803, 0.000], [0.000, 0.000, 9.003]],
  "species": ["Dy", "Tm", "Ga", "Ga", "Pd", "Pd", "Pd", "Pd"],
  "frac_coords": [[0.000, 0.000, 0.000], [0.333, 0.667, 0.500], [0.667, 0.333, 0.251], [0.667, 0.333, 0.749], [0.000, 0.000, 0.335], [0.000, 0.000, 0.665], [0.333, 0.667, 0.170], [0.333, 0.667, 0.830]],
  "e_tot_ev_per_atom": -5.382,
  "sg": "P-6m2, No. 187"
}

[15]
{
  "formula": "Dy2TmGa4Pd",
  "functional": "PBE",
  "state": "relaxed",
  "lattice_angstrom": [[6.567, 0.000, 0.000], [0.000, 1.903, 6.785], [0.000, -1.903, 6.785]],
  "species": ["Dy", "Dy", "Tm", "Ga", "Ga", "Ga", "Ga", "Pd"],
  "frac_coords": [[0.000, 0.000, 0.000], [0.500, 0.464, 0.464], [0.000, 0.270, 0.270], [0.234, 0.635, 0.635], [0.308, 0.825, 0.825], [0.692, 0.825, 0.825], [0.766, 0.635, 0.635], [0.500, 0.189, 0.189]],
  "e_tot_ev_per_atom": -4.450,
  "sg": "Amm2, No. 38"
}

[16]
{
  "formula": "DyYGa2Pd4",
  "functional": "PBE",
  "state": "relaxed",
  "lattice_angstrom": [[4.403, 0.000, 0.000], [-2.201, 3.813, 0.000], [0.000, 0.000, 9.075]],
  "species": ["Dy", "Y", "Ga", "Ga", "Pd", "Pd", "Pd", "Pd"],
  "frac_coords": [[0.000, 0.000, 0.000], [0.667, 0.333, 0.500], [0.333, 0.667, 0.250], [0.333, 0.667, 0.750], [0.000, 0.000, 0.329], [0.000, 0.000, 0.671], [0.667, 0.333, 0.168], [0.667, 0.333, 0.832]],
  "e_tot_ev_per_atom": -5.623,
  "sg": "P-6m2, No. 187",
  "de_polymorph_ev_per_atom": 0.000
}

[17]
{
  "formula": "DyYGa2Pd4",
  "functional": "PBE",
  "state": "relaxed",
  "lattice_angstrom": [[4.690, 0.000, 0.000], [0.000, 4.690, 0.000], [0.000, 0.000, 6.636]],
  "species": ["Dy", "Y", "Ga", "Ga", "Pd", "Pd", "Pd", "Pd"],
  "frac_coords": [[0.000, 0.000, 0.000], [0.500, 0.500, 0.500], [0.000, 0.000, 0.500], [0.500, 0.500, 0.000], [0.000, 0.500, 0.249], [0.000, 0.500, 0.751], [0.500, 0.000, 0.249], [0.500, 0.000, 0.751]],
  "e_tot_ev_per_atom": -5.535,
  "sg": "P4/mmm, No. 123",
  "de_polymorph_ev_per_atom": 0.087
}

[18]
{
  "formula": "DyY2Ga4Pd",
  "functional": "PBE",
  "state": "relaxed",
  "lattice_angstrom": [[6.636, 0.000, 0.000], [0.000, 2.216, 5.834], [0.000, -2.216, 5.834]],
  "species": ["Dy", "Y", "Y", "Ga", "Ga", "Ga", "Ga", "Pd"],
  "frac_coords": [[0.000, 0.000, 0.000], [0.000, 0.283, 0.283], [0.500, 0.147, 0.147], [0.208, 0.610, 0.610], [0.315, 0.829, 0.829], [0.685, 0.829, 0.829], [0.792, 0.610, 0.610], [0.500, 0.432, 0.432]],
  "e_tot_ev_per_atom": -4.935,
  "sg": "Amm2, No. 38"
}

[19]
{
  "formula": "DyZnGa2Pd4",
  "functional": "PBE",
  "state": "relaxed",
  "lattice_angstrom": [[4.512, 0.000, 0.000], [0.000, 4.512, 0.000], [0.000, 0.000, 6.472]],
  "species": ["Dy", "Zn", "Ga", "Ga", "Pd", "Pd", "Pd", "Pd"],
  "frac_coords": [[0.000, 0.000, 0.000], [0.500, 0.500, 0.500], [0.000, 0.000, 0.500], [0.500, 0.500, 0.000], [0.000, 0.500, 0.274], [0.000, 0.500, 0.726], [0.500, 0.000, 0.274], [0.500, 0.000, 0.726]],
  "e_tot_ev_per_atom": -4.754,
  "sg": "P4/mmm, No. 123"
}

[20]
{
  "formula": "Dy2ZnGaPd4",
  "functional": "PBE",
  "state": "relaxed",
  "lattice_angstrom": [[4.685, 0.000, 0.000], [0.000, 4.685, 0.000], [0.000, 0.000, 6.629]],
  "species": ["Dy", "Dy", "Zn", "Ga", "Pd", "Pd", "Pd", "Pd"],
  "frac_coords": [[0.000, 0.000, 0.000], [0.500, 0.500, 0.500], [0.000, 0.000, 0.500], [0.500, 0.500, 0.000], [0.000, 0.500, 0.247], [0.000, 0.500, 0.753], [0.500, 0.000, 0.247], [0.500, 0.000, 0.753]],
  "e_tot_ev_per_atom": -5.049,
  "sg": "P4/mmm, No. 123"
}

[21]
{
  "formula": "PmDyGa",
  "functional": "PBE",
  "state": "relaxed",
  "lattice_angstrom": [[0.000, 3.548, 3.548], [3.548, 0.000, 3.548], [3.548, 3.548, 0.000]],
  "species": ["Pm", "Dy", "Ga"],
  "frac_coords": [[0.000, 0.000, 0.000], [0.500, 0.500, 0.500], [0.750, 0.750, 0.750]],
  "e_tot_ev_per_atom": -4.366,
  "sg": "F-43m, No. 216",
  "de_polymorph_ev_per_atom": 0.000
}

[22]
{
  "formula": "PrDyGa2",
  "functional": "PBE",
  "state": "relaxed",
  "lattice_angstrom": [[4.137, 0.000, 0.000], [0.000, 2.213, 5.586], [0.000, -2.213, 5.586]],
  "species": ["Pr", "Dy", "Ga", "Ga"],
  "frac_coords": [[0.000, 0.000, 0.000], [0.500, 0.720, 0.720], [0.000, 0.282, 0.282], [0.500, 0.428, 0.428]],
  "e_tot_ev_per_atom": -4.457,
  "sg": "Amm2, No. 38"
}

[23]
{
  "formula": "PrDyGa6",
  "functional": "PBE",
  "state": "relaxed",
  "lattice_angstrom": [[6.372, 0.000, 0.000], [-3.186, 5.518, 0.000], [0.000, 0.000, 4.555]],
  "species": ["Pr", "Dy", "Ga", "Ga", "Ga", "Ga", "Ga", "Ga"],
  "frac_coords": [[0.000, 0.000, 0.000], [0.667, 0.333, 0.500], [0.039, 0.519, 0.000], [0.190, 0.379, 0.500], [0.190, 0.810, 0.500], [0.481, 0.519, 0.000], [0.481, 0.961, 0.000], [0.621, 0.810, 0.500]],
  "e_tot_ev_per_atom": -3.994,
  "sg": "P-6m2, No. 187"
}

[24]
{
  "formula": "PrDyGa2Pt4",
  "functional": "PBE",
  "state": "relaxed",
  "lattice_angstrom": [[4.406, 0.000, 0.000], [-2.203, 3.816, 0.000], [0.000, 0.000, 9.367]],
  "species": ["Pr", "Dy", "Ga", "Ga", "Pt", "Pt", "Pt", "Pt"],
  "frac_coords": [[0.000, 0.000, 0.000], [0.333, 0.667, 0.500], [0.667, 0.333, 0.256], [0.667, 0.333, 0.744], [0.000, 0.000, 0.338], [0.000, 0.000, 0.662], [0.333, 0.667, 0.181], [0.333, 0.667, 0.819]],
  "e_tot_ev_per_atom": -5.971,
  "sg": "P-6m2, No. 187"
}

These records have mass density values of 8.7; 10.0; 9.8; 7.9; 11.7; 9.8; 11.7; 12.7; 11.7; 11.2; 8.7; 9.4; 9.8; 9.9; 8.6; 8.9; 9.3; 7.0; 10.0; 10.1; 7.0; 7.2; 7.5; 12.9 g/cm³, in the order they appear.